Entry from the Open Quantum Materials Database: ZrBiSb after structural relaxation (PBE).

Properties
Total energy, eV per cell: -64.21
V, Å³ per cell: 362.0

Structure (CIF):
```
data_ZrBiSb
_space_group_name_H-M_alt 'F -4 3 m'
_space_group_IT_number 216
_space_group_name_Hall 'F -4 2 3'
_cell_length_a 7.1272
_cell_length_b 7.1272
_cell_length_c 7.1272
_cell_angle_alpha 90.00
_cell_angle_beta 90.00
_cell_angle_gamma 90.00
loop_
_atom_site_label
_atom_site_fract_x
_atom_site_fract_y
_atom_site_fract_z
Zr1 0.0000 0.0000 0.0000
Bi1 0.0000 0.0000 0.5000
Sb1 0.2500 0.2500 0.7500
```